An optimized crystal structure of Nd2ZnGe. Source: the Alexandria database, functional PBE-GGA.

## Properties
Energy relative to the elements: -0.050 eV per atom
Calculated density: 4.81 g cm⁻³
Size of the total moment: 0.0 μB per cell
DOS at the Fermi energy: 1.306 states/eV per atom
E: -3.91 eV per atom

a b c (Å): 4.2383 4.2383 28.4201
angles (deg): 90.00 90.00 120.00
Space group R-3m (No. 166, hexagonal axes)
Inequivalent atoms, fractional coordinates:
Nd 0.0000 0.0000 0.1108 [6 per cell]
Zn 0.0000 0.0000 0.0000 [3 per cell]
Ge 0.0000 0.0000 0.5000 [3 per cell]